Entry 1:
RbInBr4 after structural relaxation. Source: the Alexandria database, functional PBE-GGA.

Lattice parameters (Å, degrees): 9.5538 10.7314 12.3038 90.00 125.04 90.00
Space group P2_1/c (No. 14)
Inequivalent atoms, fractional coordinates:
Rb: 0.1833 0.1609 0.2759 x4
In: 0.3049 0.6694 0.1961 x4
Br: 0.0925 0.6498 0.6056 x4
Br: 0.1850 0.5056 0.2708 x4
Br: 0.3395 0.6036 0.0134 x4
Br: 0.3912 0.2320 0.1171 x4

## Properties
Uncorrected formation energy in eV per formula unit: -7.02
N(E_F) in states/eV/atom: 0.0000


Entry 2:
RbIn3Br8 after structural relaxation. Source: the Alexandria database, functional PBE-GGA.

Lattice parameters (Å, degrees): 8.1483 8.1483 10.2754 90.00 90.00 120.00
Space group P-3m1 (No. 164)
Inequivalent atoms, fractional coordinates:
Rb: 0.0000 0.0000 0.0000 x1
In: 0.0000 0.0000 0.5000 x1
In: 0.3333 0.6667 0.8118 x2
Br: 0.1627 0.3255 0.7258 x6
Br: 0.3333 0.6667 0.0566 x2

## Properties
Uncorrected formation energy in eV per formula unit: -11.43
N(E_F) in states/eV/atom: 0.0000